A plane-wave DFT calculation with GGA-PBE was carried out for a relaxed structure of Tl16Sn6Pb7.

Summary:
Formation energy from the elements = 0.098 eV per atom

```
data_Tl16Sn6Pb7
_space_group_name_H-M_alt 'P 1'
_space_group_IT_number 1
_cell_length_a 11.058
_cell_length_b 11.058
_cell_length_c 11.058
_cell_angle_alpha 60.00
_cell_angle_beta 60.00
_cell_angle_gamma 60.00
loop_
_space_group_symop_operation_xyz
'x,y,z'
loop_
_atom_site_label
_atom_site_type_symbol
_atom_site_fract_x
_atom_site_fract_y
_atom_site_fract_z
Tl1 Tl 0.879 0.879 0.362
Tl2 Tl 0.879 0.879 0.879
Tl3 Tl 0.879 0.362 0.879
Tl4 Tl 0.362 0.879 0.879
Tl5 Tl 0.121 0.121 0.121
Tl6 Tl 0.121 0.121 0.638
Tl7 Tl 0.121 0.638 0.121
Tl8 Tl 0.638 0.121 0.121
Tl9 Tl 0.655 0.655 0.034
Tl10 Tl 0.655 0.655 0.655
Tl11 Tl 0.655 0.034 0.655
Tl12 Tl 0.034 0.655 0.655
Tl13 Tl 0.345 0.345 0.345
Tl14 Tl 0.345 0.345 0.966
Tl15 Tl 0.345 0.966 0.345
Tl16 Tl 0.966 0.345 0.345
Sn1 Sn 0.354 0.646 0.354
Sn2 Sn 0.646 0.354 0.646
Sn3 Sn 0.646 0.354 0.354
Sn4 Sn 0.354 0.646 0.646
Sn5 Sn 0.646 0.646 0.354
Sn6 Sn 0.354 0.354 0.646
Pb1 Pb 0.000 0.000 0.000
Pb2 Pb 0.500 0.000 0.500
Pb3 Pb 0.000 0.500 0.000
Pb4 Pb 0.000 0.500 0.500
Pb5 Pb 0.500 0.000 0.000
Pb6 Pb 0.000 0.000 0.500
Pb7 Pb 0.500 0.500 0.000
```


A plane-wave DFT calculation with GGA-PBE was carried out for a relaxed structure of GdTmMnAu.

Summary:
Formation energy from the elements = -0.239 eV per atom

```
data_GdTmMnAu
_space_group_name_H-M_alt 'P 1'
_space_group_IT_number 1
_cell_length_a 5.056
_cell_length_b 5.056
_cell_length_c 5.056
_cell_angle_alpha 60.00
_cell_angle_beta 60.00
_cell_angle_gamma 60.00
loop_
_space_group_symop_operation_xyz
'x,y,z'
loop_
_atom_site_label
_atom_site_type_symbol
_atom_site_fract_x
_atom_site_fract_y
_atom_site_fract_z
Gd1 Gd 0.500 0.500 0.500
Tm1 Tm 0.000 0.000 0.000
Au1 Au 0.750 0.750 0.750
Mn1 Mn 0.250 0.250 0.250
```


A plane-wave DFT calculation with GGA-PBE was carried out for a relaxed structure of TbDy4Sc6.

Summary:
Formation energy from the elements = 0.296 eV per atom

```
data_TbDy4Sc6
_space_group_name_H-M_alt 'P 1'
_space_group_IT_number 1
_cell_length_a 9.067
_cell_length_b 9.067
_cell_length_c 9.067
_cell_angle_alpha 59.26
_cell_angle_beta 139.07
_cell_angle_gamma 139.07
loop_
_space_group_symop_operation_xyz
'x,y,z'
loop_
_atom_site_label
_atom_site_type_symbol
_atom_site_fract_x
_atom_site_fract_y
_atom_site_fract_z
Tb1 Tb 0.000 0.000 0.000
Dy1 Dy 0.000 0.012 0.629
Dy2 Dy 0.383 0.371 0.371
Dy3 Dy 0.000 0.629 0.012
Dy4 Dy 0.617 0.988 0.988
Sc1 Sc 0.000 0.787 0.443
Sc2 Sc 0.000 0.443 0.787
Sc3 Sc 0.656 0.213 0.213
Sc4 Sc 0.500 0.000 0.500
Sc5 Sc 0.344 0.557 0.557
Sc6 Sc 0.500 0.500 0.000
```


A plane-wave DFT calculation with GGA-PBE was carried out for a relaxed structure of LiTlAsS2.

Summary:
ΔE_f (raw) = -0.2881 eV/atom

```
data_LiTlAsS2
_space_group_name_H-M_alt 'P 1'
_space_group_IT_number 1
_cell_length_a 6.232
_cell_length_b 5.383
_cell_length_c 7.394
_cell_angle_alpha 111.35
_cell_angle_beta 90.00
_cell_angle_gamma 90.00
loop_
_space_group_symop_operation_xyz
'x,y,z'
loop_
_atom_site_label
_atom_site_type_symbol
_atom_site_fract_x
_atom_site_fract_y
_atom_site_fract_z
Li1 Li 0.500 0.750 0.000
Li2 Li 0.500 0.250 0.000
Tl1 Tl 0.275 0.750 0.500
Tl2 Tl 0.725 0.250 0.500
As1 As 0.000 0.000 0.000
As2 As 0.000 0.500 0.000
S1 S 0.710 0.885 0.769
S2 S 0.710 0.615 0.231
S3 S 0.290 0.385 0.769
S4 S 0.290 0.115 0.231
```


A plane-wave DFT calculation with GGA-PBE was carried out for a relaxed structure of MgHgPd2.

Summary:
Formation energy from the elements = -0.171 eV per atom

```
data_MgHgPd2
_space_group_name_H-M_alt 'P 1'
_space_group_IT_number 1
_cell_length_a 7.265
_cell_length_b 7.265
_cell_length_c 5.869
_cell_angle_alpha 51.77
_cell_angle_beta 51.77
_cell_angle_gamma 90.00
loop_
_space_group_symop_operation_xyz
'x,y,z'
loop_
_atom_site_label
_atom_site_type_symbol
_atom_site_fract_x
_atom_site_fract_y
_atom_site_fract_z
Mg1 Mg 0.500 0.500 0.000
Mg2 Mg 0.250 0.750 0.500
Hg1 Hg 0.000 0.000 0.000
Hg2 Hg 0.750 0.250 0.500
Pd1 Pd 0.612 0.125 0.250
Pd2 Pd 0.138 0.625 0.250
Pd3 Pd 0.375 0.388 0.750
Pd4 Pd 0.875 0.862 0.750
```


A plane-wave DFT calculation with GGA-PBE was carried out for a relaxed structure of ScAgTe3Pb.

Summary:
ΔE_f (raw) = -0.6386 eV/atom

```
data_ScAgTe3Pb
_space_group_name_H-M_alt 'P 1'
_space_group_IT_number 1
_cell_length_a 4.278
_cell_length_b 8.577
_cell_length_c 9.930
_cell_angle_alpha 105.06
_cell_angle_beta 90.00
_cell_angle_gamma 90.00
loop_
_space_group_symop_operation_xyz
'x,y,z'
loop_
_atom_site_label
_atom_site_type_symbol
_atom_site_fract_x
_atom_site_fract_y
_atom_site_fract_z
Sc1 Sc 0.250 0.682 0.172
Sc2 Sc 0.750 0.318 0.828
Ag1 Ag 0.250 0.083 0.590
Ag2 Ag 0.750 0.917 0.410
Te1 Te 0.250 0.723 0.475
Te2 Te 0.750 0.903 0.126
Te3 Te 0.750 0.434 0.140
Te4 Te 0.750 0.277 0.525
Te5 Te 0.250 0.566 0.860
Te6 Te 0.250 0.097 0.874
Pb1 Pb 0.750 0.795 0.742
Pb2 Pb 0.250 0.205 0.258
```


Record-wise electronic total energy values, in eV per atom: -2.93, -7.99, -5.25, -3.73, -3.24, -4.36